1.
DFT (PBE+U) results for Li2MgMoO4 after structural relaxation.

Computed properties:
- Space-group type: I-4m2 (119)
- DFT total energy: -6.12 eV/atom

```
Li2MgMoO4
1.0
-2.1019 2.1019 4.4698
2.1019 -2.1019 4.4698
2.1019 2.1019 -4.4698
Li Mg Mo O
2 1 1 4
Direct
0.0000 0.0000 0.0000 Li
0.7500 0.2500 0.5000 Li
0.2500 0.7500 0.5000 Mg
0.5000 0.5000 0.0000 Mo
0.0119 0.5119 0.5000 O
0.2727 0.2727 0.0000 O
0.4881 0.9881 0.5000 O
0.7273 0.7273 0.0000 O
```

***

2.
DFT (PBE+U) results for MgCu2Mo2O8 after structural relaxation.

Computed properties:
- Space-group type: P2_1/c (14)
- DFT total energy: -6.36 eV/atom

```
MgCu2Mo2O8
1.0
6.5519 0.0000 0.0000
0.0000 8.5903 0.0000
-0.6082 0.0000 12.6876
Mg Cu Mo O
4 8 8 32
Direct
0.1094 0.1580 0.0519 Mg
0.1094 0.3420 0.5519 Mg
0.8906 0.6580 0.4481 Mg
0.8906 0.8420 0.9481 Mg
0.2290 0.6772 0.6444 Cu
0.2290 0.8228 0.1444 Cu
0.3744 0.0582 0.6067 Cu
0.3744 0.4418 0.1067 Cu
0.6256 0.5582 0.8933 Cu
0.6256 0.9418 0.3933 Cu
0.7710 0.1772 0.8556 Cu
0.7710 0.3228 0.3556 Cu
0.0974 0.0447 0.3451 Mo
0.0974 0.4553 0.8451 Mo
0.3805 0.5681 0.3698 Mo
0.3805 0.9319 0.8698 Mo
0.6195 0.0681 0.1302 Mo
0.6195 0.4319 0.6302 Mo
0.9026 0.5447 0.1549 Mo
0.9026 0.9553 0.6549 Mo
0.0422 0.2360 0.4021 O
0.0422 0.2640 0.9021 O
0.0811 0.1083 0.6122 O
0.0811 0.3917 0.1122 O
0.1251 0.0459 0.2035 O
0.1251 0.4541 0.7035 O
0.1807 0.5584 0.4684 O
0.1807 0.9416 0.9684 O
0.2752 0.6330 0.2437 O
0.2752 0.8670 0.7437 O
0.3449 0.5055 0.9010 O
0.3449 0.9945 0.4010 O
0.4167 0.1974 0.0819 O
0.4167 0.3026 0.5819 O
0.4854 0.1202 0.8518 O
0.4854 0.3798 0.3518 O
0.5146 0.6202 0.6482 O
0.5146 0.8798 0.1482 O
0.5833 0.6974 0.4181 O
0.5833 0.8026 0.9181 O
0.6551 0.0055 0.5990 O
0.6551 0.4945 0.0990 O
0.7248 0.1330 0.2563 O
0.7248 0.3670 0.7563 O
0.8193 0.0584 0.0316 O
0.8193 0.4416 0.5316 O
0.8749 0.5459 0.2965 O
0.8749 0.9541 0.7965 O
0.9189 0.6083 0.8878 O
0.9189 0.8917 0.3878 O
0.9578 0.7360 0.0979 O
0.9578 0.7640 0.5979 O
```

***

3.
DFT (PBE+U) results for CsMnSiF6 after structural relaxation.

Computed properties:
- Space-group type: P-31c (163)
- DFT total energy: -5.46 eV/atom

```
CsMnSiF6
1.0
5.9878 0.0000 0.0000
-2.9939 5.1856 0.0000
0.0000 0.0000 11.7999
Cs Mn Si F
2 2 2 12
Direct
0.0000 0.0000 0.0000 Cs
0.0000 0.0000 0.5000 Cs
0.3333 0.6667 0.2500 Mn
0.6667 0.3333 0.7500 Mn
0.3333 0.6667 0.7500 Si
0.6667 0.3333 0.2500 Si
0.0950 0.4334 0.6658 F
0.0950 0.6616 0.8342 F
0.3384 0.4334 0.8342 F
0.3384 0.9050 0.6658 F
0.4334 0.0950 0.1658 F
0.4334 0.3384 0.3342 F
0.5666 0.6616 0.6658 F
0.5666 0.9050 0.8342 F
0.6616 0.0950 0.3342 F
0.6616 0.5666 0.1658 F
0.9050 0.3384 0.1658 F
0.9050 0.5666 0.3342 F
```